Entry 1:
## Ce3TlFe (GGA-PBE)

Data for a relaxed Ce3TlFe crystal.

Cell and atoms, written as CIF:
```
data_Ce3TlFe
_chemical_formula_sum 'Ce6 Tl2 Fe2'
_cell_length_a 6.6260
_cell_length_b 5.2849
_cell_length_c 7.1109
_cell_angle_alpha 90.00
_cell_angle_beta 93.97
_cell_angle_gamma 90.00
_symmetry_space_group_name_H-M 'P 1 21/m 1'
_symmetry_Int_Tables_number 11
_symmetry_space_group_name_Hall '-P 2yb'
loop_
_atom_site_label
_atom_site_type_symbol
_atom_site_fract_x
_atom_site_fract_y
_atom_site_fract_z
Ce1 Ce 0.0055 0.2500 0.1018
Ce2 Ce 0.1600 0.2500 0.5674
Ce3 Ce 0.4210 0.7500 0.8307
Tl1 Tl 0.3098 0.7500 0.3016
Fe1 Fe 0.3032 0.2500 0.8479
```

## Properties
Energy above the lowest structure with this stoichiometry = 0.048 eV per atom
Energy relative to the elements = -0.121 eV/atom

=====

Entry 2:
## BaAs2Pt (GGA-PBE)

Data for a relaxed BaAs2Pt crystal.

Cell and atoms, written as CIF:
```
data_BaAs2Pt
_chemical_formula_sum 'Ba2 As4 Pt2'
_cell_length_a 4.1445
_cell_length_b 6.4714
_cell_length_c 7.8373
_cell_angle_alpha 90.00
_cell_angle_beta 90.00
_cell_angle_gamma 90.00
_symmetry_space_group_name_H-M 'I m m m'
_symmetry_Int_Tables_number 71
_symmetry_space_group_name_Hall '-I 2 2'
loop_
_atom_site_label
_atom_site_type_symbol
_atom_site_fract_x
_atom_site_fract_y
_atom_site_fract_z
Ba1 Ba 0.0000 0.0000 0.0000
As1 As 0.0000 0.5000 0.1761
Pt1 Pt 0.0000 0.0000 0.5000
```

## Properties
Energy relative to the elements = -0.648 eV/atom

=====

Entry 3:
## PmPr2Er3Te6 (GGA-PBE)

Data for a relaxed PmPr2Er3Te6 crystal.

Cell and atoms, written as CIF:
```
data_PmPr2Er3Te6
_chemical_formula_sum 'Pm2 Pr4 Er6 Te12'
_cell_length_a 19.4321
_cell_length_b 4.3431
_cell_length_c 8.9842
_cell_angle_alpha 90.00
_cell_angle_beta 105.65
_cell_angle_gamma 90.00
_symmetry_space_group_name_H-M 'C 1 2/m 1'
_symmetry_Int_Tables_number 12
_symmetry_space_group_name_Hall '-C 2y'
loop_
_atom_site_label
_atom_site_type_symbol
_atom_site_fract_x
_atom_site_fract_y
_atom_site_fract_z
Pm1 Pm 0.0000 0.0000 0.0000
Pr1 Pr 0.1674 0.5000 0.3344
Er1 Er 0.0000 0.0000 0.5000
Er2 Er 0.1683 0.5000 0.8342
Te1 Te 0.0044 0.5000 0.7435
Te2 Te 0.1623 0.0000 0.5935
Te3 Te 0.1688 0.0000 0.0726
```

## Properties
Raw formation energy = -1.329 eV/atom

=====

Entry 4:
## CuMo3Se (GGA-PBE)

Data for a relaxed CuMo3Se crystal.

Cell and atoms, written as CIF:
```
data_CuMo3Se
_chemical_formula_sum 'Cu1 Mo3 Se1'
_cell_length_a 4.5868
_cell_length_b 4.5868
_cell_length_c 4.5868
_cell_angle_alpha 90.00
_cell_angle_beta 90.00
_cell_angle_gamma 90.00
_symmetry_space_group_name_H-M 'P m -3 m'
_symmetry_Int_Tables_number 221
_symmetry_space_group_name_Hall '-P 4 2 3'
loop_
_atom_site_label
_atom_site_type_symbol
_atom_site_fract_x
_atom_site_fract_y
_atom_site_fract_z
Cu1 Cu 0.0000 0.0000 0.0000
Mo1 Mo 0.0000 0.5000 0.5000
Se1 Se 0.5000 0.5000 0.5000
```

## Properties
Energy above the lowest structure with this stoichiometry = 0.000 eV per atom
Raw formation energy = 1.333 eV/atom

=====

Mass density values (in g cm⁻³) by entry order: 9.10 7.62 7.71 7.40.